Record 1
First-principles (PBE) data for a relaxed Sm2Dy3Co2 crystal, as listed in Alexandria via LeMat-Bulk.

a b c (Å): 3.6555 6.3321 8.9682
angles (deg): 115.13 90.00 106.78
Last column: nearest neighbours and their distance in Å.
Fractional positions:
Sm (0.8288, 0.6575, 0.1975)  2 Co 2.75
Sm (0.1712, 0.3425, 0.8025)  2 Co 2.75
Dy (0.5000, 0.0000, 0.0000)  4 Co 2.93
Dy (0.6186, 0.2373, 0.4248)  3 Co 2.75-2.91
Dy (0.3814, 0.7627, 0.5752)  3 Co 2.75-2.91
Co (0.8226, 0.6452, 0.7569)  5 Dy 2.75-2.93, 2 Sm 2.75
Co (0.1774, 0.3548, 0.2431)  5 Dy 2.75-2.93, 2 Sm 2.75

Calculated values
E_form   -1.0 eV/f.u.
DFT total energy   -38.431 eV per cell

Record 2
First-principles (PBE) data for a relaxed KTiNb2O crystal, as listed in Alexandria via LeMat-Bulk.

a b c (Å): 4.5745 4.1447 4.5745
angles (deg): 90.00 90.00 90.00
Last column: nearest neighbours and their distance in Å.
Fractional positions:
Nb (0.0000, 0.0000, 0.5000)  2 O 2.29
Nb (0.5000, 0.0000, 0.0000)  2 O 2.29
K (0.5000, 0.5000, 0.5000)  8 Nb 3.09, 4 Ti 3.23
O (0.0000, 0.0000, 0.0000)  2 Ti 2.07, 4 Nb 2.29
Ti (0.0000, 0.5000, 0.0000)  2 O 2.07

Calculated values
E above lowest polymorph   146 meV/atom
DFT total energy   -33.042 eV per cell
ΔE_f (raw)   210 meV/atom

Record 3
First-principles (PBE) data for a relaxed ZnCd6Ga crystal, as listed in Alexandria via LeMat-Bulk.

a b c (Å): 5.8773 7.8960 7.0451
angles (deg): 39.82 65.49 55.73
Last column: nearest neighbours and their distance in Å.
Fractional positions:
Zn (0.5000, 0.5000, 0.5000)  8 Cd 2.86-3.06
Cd (0.9002, 0.6170, 0.6275)  2 Ga 2.89-3.06, 6 Cd 2.96-3.22, 1 Zn 3.01
Cd (0.6098, 0.8785, 0.8806)  2 Zn 2.86-3.06, 4 Cd 2.92-3.09, 1 Ga 3.06
Cd (0.7421, 0.2535, 0.2551)  6 Cd 2.92-3.25, 1 Zn 2.97, 1 Ga 3.06
Cd (0.3902, 0.1215, 0.1194)  2 Zn 2.86-3.06, 4 Cd 2.92-3.09, 1 Ga 3.06
Cd (0.0998, 0.3830, 0.3725)  2 Ga 2.89-3.06, 6 Cd 2.96-3.22, 1 Zn 3.01
Cd (0.2579, 0.7465, 0.7449)  6 Cd 2.92-3.25, 1 Zn 2.97, 1 Ga 3.06
Ga (0.0000, 0.0000, 0.0000)  8 Cd 2.89-3.06

Calculated values
E above lowest polymorph   0 meV/atom
E_form   0.4 eV/f.u.
DFT total energy   -9.439 eV per cell

Record 4
First-principles (PBE) data for a relaxed Nd3SbH3 crystal, as listed in Alexandria via LeMat-Bulk.

a b c (Å): 7.0329 7.0329 8.1634
angles (deg): 64.48 64.48 60.00
Last column: nearest neighbours and their distance in Å.
Fractional positions:
Nd (0.2344, 0.5680, 0.2937)  4 H 2.33-2.44
Nd (0.9040, 0.2344, 0.2937)  4 H 2.33-2.44
Nd (0.5680, 0.9040, 0.2937)  4 H 2.33-2.44
Nd (0.4320, 0.0960, 0.7063)  4 H 2.33-2.44
Nd (0.0960, 0.7656, 0.7063)  4 H 2.33-2.44
Nd (0.7656, 0.4320, 0.7063)  4 H 2.33-2.44
Sb (0.3339, 0.3339, 0.9984)  6 Nd 3.13
Sb (0.6661, 0.6661, 0.0016)  6 Nd 3.13
H (0.4605, 0.7862, 0.6232)  4 Nd 2.33-2.44
H (0.7862, 0.1302, 0.6232)  4 Nd 2.33-2.44
H (0.1302, 0.4605, 0.6232)  4 Nd 2.33-2.44
H (0.8698, 0.5395, 0.3768)  4 Nd 2.33-2.44
H (0.2138, 0.8698, 0.3768)  4 Nd 2.33-2.44
H (0.5395, 0.2138, 0.3768)  4 Nd 2.33-2.44

Calculated values
E above lowest polymorph   0 meV/atom
DFT total energy   -66.275 eV per cell

Record 5
First-principles (PBE) data for a relaxed CsThSe2F crystal, as listed in Alexandria via LeMat-Bulk.

a b c (Å): 4.3792 8.5332 9.8766
angles (deg): 107.63 90.00 90.00
Last column: nearest neighbours and their distance in Å.
Fractional positions:
Cs (0.2500, 0.7082, 0.3083)  2 F 3.03
Cs (0.7500, 0.2918, 0.6917)  2 F 3.03
Th (0.2500, 0.8165, 0.8247)  1 F 2.18
Th (0.7500, 0.1835, 0.1753)  1 F 2.18
Se (0.7500, 0.8291, 0.6382)  2 Th 2.88
Se (0.7500, 0.8215, 0.0327)  3 Th 2.98-2.99
Se (0.2500, 0.1709, 0.3618)  2 Th 2.88
Se (0.2500, 0.1785, 0.9673)  3 Th 2.98-2.99
F (0.2500, 0.5487, 0.7689)  1 Th 2.18
F (0.7500, 0.4513, 0.2311)  1 Th 2.18

Calculated values
DFT total energy   -57.005 eV per cell
ΔE_f (raw)   -2278 meV/atom

Record 6
First-principles (PBE) data for a relaxed NpTl2AgS4 crystal, as listed in Alexandria via LeMat-Bulk.

a b c (Å): 4.0497 7.8359 6.5251
angles (deg): 73.24 90.00 90.00
Last column: nearest neighbours and their distance in Å.
Fractional positions:
Np (0.0000, 0.5000, 0.5000)  6 S 2.55-2.70
Tl (0.0000, 0.0000, 0.0000)  6 S 3.23-3.25
Tl (0.5000, 0.0000, 0.5000)  6 S 3.12-3.15
Ag (0.5000, 0.5000, 0.0000)  6 S 2.70-2.81
S (0.0000, 0.7029, 0.7437)  1 Np 2.55, 2 Ag 2.81
S (0.0000, 0.2971, 0.2563)  1 Np 2.55, 2 Ag 2.81
S (0.5000, 0.6965, 0.2791)  2 Np 2.70, 1 Ag 2.70
S (0.5000, 0.3035, 0.7209)  2 Np 2.70, 1 Ag 2.70

Calculated values
DFT total energy   -42.115 eV per cell
ΔE_f (raw)   -635 meV/atom

Record 7
First-principles (PBE) data for a relaxed DyInP2Rh5 crystal, as listed in Alexandria via LeMat-Bulk.

a b c (Å): 4.0357 4.0357 10.2379
angles (deg): 90.00 90.00 90.00
Last column: nearest neighbours and their distance in Å.
Fractional positions:
Dy (0.0000, 0.0000, 0.5000)  4 Rh 2.85
In (0.0000, 0.0000, 0.0000)  8 Rh 2.74
P (0.5000, 0.5000, 0.2803)  5 Rh 2.25-2.26
P (0.5000, 0.5000, 0.7197)  5 Rh 2.25-2.26
Rh (0.0000, 0.5000, 0.1814)  2 P 2.26
Rh (0.5000, 0.0000, 0.1814)  2 P 2.26
Rh (0.0000, 0.5000, 0.8186)  2 P 2.26
Rh (0.5000, 0.0000, 0.8186)  2 P 2.26
Rh (0.5000, 0.5000, 0.5000)  2 P 2.25

Calculated values
E_form   -5.6 eV/f.u.
DFT total energy   -60.500 eV per cell

Record 8
First-principles (PBE) data for a relaxed ErZn2Pt5 crystal, as listed in Alexandria via LeMat-Bulk.

a b c (Å): 3.7355 6.5699 6.5699
angles (deg): 66.03 73.48 73.48
Last column: nearest neighbours and their distance in Å.
Fractional positions:
Er (0.0000, 0.0000, 0.0000)  8 Pt 3.14, 4 Zn 3.24
Zn (0.7558, 0.7442, 0.7442)  7 Pt 2.44-2.64
Zn (0.2442, 0.2558, 0.2558)  7 Pt 2.44-2.64
Pt (0.0000, 0.5000, 0.5000)  2 Zn 2.53, 8 Pt 2.77
Pt (0.6351, 0.5723, 0.1574)  3 Zn 2.44-2.64
Pt (0.3649, 0.4277, 0.8426)  3 Zn 2.44-2.64
Pt (0.3649, 0.8426, 0.4277)  3 Zn 2.44-2.64
Pt (0.6351, 0.1574, 0.5723)  3 Zn 2.44-2.64

Calculated values
E_form   -4.5 eV/f.u.
DFT total energy   -41.851 eV per cell

Record 9
First-principles (PBE) data for a relaxed SmHo2TmSc2 crystal, as listed in Alexandria via LeMat-Bulk.

a b c (Å): 5.4435 9.4402 6.7721
angles (deg): 90.00 90.00 90.00
Last column: nearest neighbours and their distance in Å.
Fractional positions:
Sm (0.5000, 0.5000, 0.0000)  2 Tm 3.39, 6 Ho 3.57-3.58, 6 Sc 3.57
Sm (0.0000, 0.0000, 0.5000)  2 Tm 3.39, 6 Ho 3.57-3.58, 6 Sc 3.57
Ho (0.5000, 0.8335, 0.2476)  5 Sc 3.14-3.40
Ho (0.5000, 0.1665, 0.7524)  5 Sc 3.14-3.40
Ho (0.0000, 0.6665, 0.7476)  5 Sc 3.14-3.40
Ho (0.0000, 0.3335, 0.2524)  5 Sc 3.14-3.40
Tm (0.0000, 0.0000, 0.0000)  2 Sm 3.39, 6 Ho 3.56-3.58, 6 Sc 3.57
Tm (0.5000, 0.5000, 0.5000)  2 Sm 3.39, 6 Ho 3.56-3.58, 6 Sc 3.57
Sc (0.5000, 0.1669, 0.2500)  5 Ho 3.14-3.40
Sc (0.0000, 0.6669, 0.2500)  5 Ho 3.14-3.40
Sc (0.5000, 0.8331, 0.7500)  5 Ho 3.14-3.40
Sc (0.0000, 0.3331, 0.7500)  5 Ho 3.14-3.40

Calculated values
E_form   0.5 eV/f.u.
DFT total energy   -61.109 eV per cell

Record 10
First-principles (PBE) data for a relaxed Sm2ScSe crystal, as listed in Alexandria via LeMat-Bulk.

a b c (Å): 3.7633 3.7633 10.2394
angles (deg): 79.41 79.41 60.00
Last column: nearest neighbours and their distance in Å.
Fractional positions:
Sc (0.0000, 0.0000, 0.0000)  2 Sm 3.14
Se (0.5000, 0.5000, 0.5000)  6 Sm 2.86
Sm (0.1046, 0.1046, 0.6863)  3 Se 2.86, 1 Sc 3.14
Sm (0.8954, 0.8954, 0.3137)  3 Se 2.86, 1 Sc 3.14

Calculated values
DFT total energy   -21.125 eV per cell
ΔE_f (raw)   -468 meV/atom

Record 11
First-principles (PBE) data for a relaxed ZnFeAsSe2 crystal, as listed in Alexandria via LeMat-Bulk.

a b c (Å): 4.9535 4.9535 4.6935
angles (deg): 90.00 90.00 90.00
Last column: nearest neighbours and their distance in Å.
Fractional positions:
As (0.0000, 0.0000, 0.5000)  2 Zn 2.35
Zn (0.0000, 0.0000, 0.0000)  2 As 2.35, 4 Se 2.48
Se (0.0000, 0.5000, 0.0000)  2 Zn 2.48
Se (0.5000, 0.0000, 0.0000)  2 Zn 2.48
Fe (0.5000, 0.5000, 0.5000)  8 Se 3.41, 4 As 3.50

Calculated values
E above lowest polymorph   500 meV/atom
DFT total energy   -16.916 eV per cell
ΔE_f (raw)   888 meV/atom

Record 12
First-principles (PBE) data for a relaxed AcTbCd17 crystal, as listed in Alexandria via LeMat-Bulk.

a b c (Å): 7.7187 7.7187 7.7187
angles (deg): 82.29 82.29 82.29
Last column: nearest neighbours and their distance in Å.
Fractional positions:
Ac (0.6655, 0.6655, 0.6655)  19 Cd 3.60-4.03
Tb (0.3268, 0.3268, 0.3268)  13 Cd 3.32-3.55
Cd (0.2960, 0.0034, 0.6993)  8 Cd 2.94-3.27
Cd (0.6993, 0.2960, 0.0034)  8 Cd 2.94-3.27
Cd (0.0034, 0.6993, 0.2960)  8 Cd 2.94-3.27
Cd (0.2960, 0.6993, 0.0034)  8 Cd 2.94-3.27
Cd (0.0034, 0.2960, 0.6993)  8 Cd 2.94-3.27
Cd (0.6993, 0.0034, 0.2960)  8 Cd 2.94-3.27
Cd (0.3485, 0.8706, 0.3485)  9 Cd 2.90-3.22
Cd (0.3485, 0.3485, 0.8706)  9 Cd 2.90-3.22
Cd (0.8706, 0.3485, 0.3485)  9 Cd 2.90-3.22
Cd (0.6248, 0.1951, 0.6248)  6 Cd 2.90-3.09
Cd (0.6248, 0.6248, 0.1951)  6 Cd 2.90-3.09
Cd (0.1951, 0.6248, 0.6248)  6 Cd 2.90-3.09
Cd (0.9826, 0.5193, 0.9826)  10 Cd 2.94-3.26
Cd (0.9826, 0.9826, 0.5193)  10 Cd 2.94-3.26
Cd (0.5193, 0.9826, 0.9826)  10 Cd 2.94-3.26
Cd (0.9076, 0.9076, 0.9076)  4 Cd 2.97-2.99
Cd (0.1060, 0.1060, 0.1060)  7 Cd 2.99-3.26, 1 Tb 3.32

Calculated values
E_form   -2.9 eV/f.u.
DFT total energy   -27.149 eV per cell